Version P
Compound: Ba3Te2
Source: Alexandria via LeMat-Bulk
Functional: GGA-PBE
Structure: relaxed

a b c (Å): 10.4966 8.9621 8.8480
angles (deg): 72.22 54.39 53.39
With the nearest neighbours (Å) after each atom.
Fractional positions:
1 Te 0.5137 0.7632 0.5791  6 Ba 3.45-3.57
2 Ba 0.1226 0.9829 0.5406  4 Te 3.47-3.52
3 Te 0.6709 0.1060 0.7363  6 Ba 3.45-3.57
4 Ba 0.2671 0.1274 0.8961  4 Te 3.47-3.52
5 Te 0.4868 0.7363 0.1060  6 Ba 3.45-3.57
6 Ba 0.8658 0.6342 0.6342  4 Te 3.45-3.57
7 Ba 0.7094 0.8961 0.1274  4 Te 3.47-3.52
8 Ba 0.6158 0.3842 0.3842  4 Te 3.45-3.57
9 Ba 0.3539 0.5406 0.9829  4 Te 3.47-3.52
10 Te 0.1440 0.5791 0.7632  6 Ba 3.45-3.57

Output
**Space group**: Fdd2
**Crystal system**: orthorhombic
**DOS(E_F)**: 3.07 states/eV/f.u.

Version Q
Compound: Ba3Te2
Source: Alexandria via LeMat-Bulk
Functional: GGA-PBE
Structure: relaxed

a b c (Å): 8.4489 8.4489 9.5954
angles (deg): 63.88 63.88 60.00
With the nearest neighbours (Å) after each atom.
Fractional positions:
1 Te 0.3375 0.3375 0.9874  6 Ba 3.46-3.51
2 Te 0.8375 0.8375 0.4874  6 Ba 3.46-3.51
3 Ba 0.0761 0.7500 0.7500  4 Te 3.46-3.51
4 Te 0.1625 0.1625 0.5126  6 Ba 3.46-3.51
5 Ba 0.5761 0.9239 0.2500  4 Te 3.46-3.51
6 Ba 0.2500 0.5761 0.2500  4 Te 3.46-3.51
7 Te 0.6625 0.6625 0.0126  6 Ba 3.46-3.51
8 Ba 0.7500 0.4239 0.7500  4 Te 3.46-3.51
9 Ba 0.9239 0.2500 0.2500  4 Te 3.46-3.51
10 Ba 0.4239 0.0761 0.7500  4 Te 3.46-3.51

Output
**Space group**: R-3c
**Crystal system**: trigonal
**DOS(E_F)**: 4.17 states/eV/f.u.

Version R
Compound: Ba3Te2
Source: Alexandria via LeMat-Bulk
Functional: GGA-PBE
Structure: relaxed

a b c (Å): 12.6550 12.6550 12.6550
angles (deg): 22.33 22.33 22.33
With the nearest neighbours (Å) after each atom.
Fractional positions:
1 Ba 0.2219 0.2219 0.2219  3 Te 3.48
2 Ba 0.7781 0.7781 0.7781  3 Te 3.48
3 Ba 0.0000 0.0000 0.0000  6 Te 3.52
4 Te 0.6100 0.6100 0.6100  6 Ba 3.48-3.52
5 Te 0.3900 0.3900 0.3900  6 Ba 3.48-3.52

Output
**Space group**: R-3m
**Crystal system**: trigonal
**DOS(E_F)**: 3.02 states/eV/f.u.

Which of them is the most stable? Correct choice: version R.

Version P
Compound: Ba4Te
Source: Alexandria via LeMat-Bulk
Functional: GGA-PBE
Structure: relaxed

a b c (Å): 6.8158 6.8158 6.8158
angles (deg): 90.00 90.00 90.00
With the nearest neighbours (Å) after each atom.
Fractional positions:
1 Ba 0.0000 0.0000 0.0000  12 Ba 4.82
2 Ba 0.0000 0.5000 0.5000  2 Te 3.41
3 Ba 0.5000 0.0000 0.5000  2 Te 3.41
4 Ba 0.5000 0.5000 0.0000  2 Te 3.41
5 Te 0.5000 0.5000 0.5000  6 Ba 3.41

Output
**Space group**: Pm-3m
**Crystal system**: cubic
**DOS(E_F)**: 9.43 states/eV/f.u.

Version Q
Compound: Ba4Te
Source: Alexandria via LeMat-Bulk
Functional: GGA-PBE
Structure: relaxed

a b c (Å): 7.1002 7.1002 7.1002
angles (deg): 109.47 109.47 109.47
With the nearest neighbours (Å) after each atom.
Fractional positions:
1 Te 0.0000 0.0000 0.0000  8 Ba 3.55
2 Ba 0.0000 0.5000 0.0000  2 Te 3.55
3 Ba 0.0000 0.0000 0.5000  2 Te 3.55
4 Ba 0.5000 0.0000 0.0000  2 Te 3.55
5 Ba 0.5000 0.5000 0.5000  2 Te 3.55

Output
**Space group**: Im-3m
**Crystal system**: cubic
**DOS(E_F)**: 6.05 states/eV/f.u.

Which of them is the most stable? Correct choice: version P.

Version P
Compound: BaThTe2
Source: Alexandria via LeMat-Bulk
Functional: GGA-PBE
Structure: relaxed

a b c (Å): 3.9688 3.9688 8.2365
angles (deg): 90.00 90.00 90.00
With the nearest neighbours (Å) after each atom.
Fractional positions:
1 Ba 0.5000 0.5000 0.5000  8 Te 3.63, 4 Ba 3.97
2 Te 0.0000 0.0000 0.2207  4 Th 3.34, 4 Ba 3.63, 1 Te 3.64
3 Th 0.5000 0.5000 0.0000  8 Te 3.34
4 Te 0.0000 0.0000 0.7793  4 Th 3.34, 4 Ba 3.63, 1 Te 3.64

Output
**Space group**: P4/mmm
**Crystal system**: tetragonal
**DOS(E_F)**: 2.34 states/eV/f.u.

Version Q
Compound: BaThTe2
Source: Alexandria via LeMat-Bulk
Functional: GGA-PBE
Structure: relaxed

a b c (Å): 4.5805 4.5805 8.4665
angles (deg): 74.31 74.31 60.00
With the nearest neighbours (Å) after each atom.
Fractional positions:
1 Th 0.0000 0.0000 0.0000  6 Te 3.20
2 Te 0.2583 0.2583 0.2250  3 Th 3.20, 3 Ba 3.45
3 Ba 0.5000 0.5000 0.5000  6 Te 3.45
4 Te 0.7417 0.7417 0.7750  3 Th 3.20, 3 Ba 3.45

Output
**Space group**: R-3m
**Crystal system**: trigonal
**DOS(E_F)**: 2.90 states/eV/f.u.

Which of them is the most stable? Correct choice: version Q.

Version P
Compound: BaThTe3
Source: Alexandria via LeMat-Bulk
Functional: GGA-PBE
Structure: relaxed

a b c (Å): 4.8028 8.6076 18.3918
angles (deg): 90.00 90.00 90.00
With the nearest neighbours (Å) after each atom.
Fractional positions:
1 Ba 0.7500 0.3713 0.7005  7 Te 3.43-3.83
2 Th 0.7500 0.7356 0.0429  7 Te 3.11-3.36
3 Te 0.7500 0.1251 0.0517  3 Th 3.20-3.36
4 Te 0.7500 0.9897 0.5938  3 Th 3.23-3.29
5 Th 0.7500 0.2356 0.4571  7 Te 3.11-3.36
6 Th 0.2500 0.2644 0.9571  7 Te 3.11-3.36
7 Ba 0.2500 0.1287 0.2005  7 Te 3.43-3.83
8 Te 0.7500 0.4897 0.9062  3 Th 3.23-3.29
9 Ba 0.7500 0.8713 0.7995  7 Te 3.43-3.83
10 Te 0.7500 0.6251 0.4483  3 Th 3.20-3.36
11 Te 0.2500 0.5103 0.0938  3 Th 3.23-3.29
12 Te 0.7500 0.8310 0.2062  1 Th 3.11, 2 Ba 3.43
13 Te 0.2500 0.1690 0.7938  1 Th 3.11, 2 Ba 3.43
14 Te 0.2500 0.8749 0.9483  3 Th 3.20-3.36
15 Th 0.2500 0.7644 0.5429  7 Te 3.11-3.36
16 Te 0.2500 0.6690 0.7062  1 Th 3.11, 2 Ba 3.43
17 Te 0.2500 0.3749 0.5517  3 Th 3.20-3.36
18 Te 0.2500 0.0103 0.4062  3 Th 3.23-3.29
19 Ba 0.2500 0.6287 0.2995  7 Te 3.43-3.83
20 Te 0.7500 0.3310 0.2938  1 Th 3.11, 2 Ba 3.43

Output
**Space group**: Pnma
**Crystal system**: orthorhombic

Version Q
Compound: BaThTe3
Source: Alexandria via LeMat-Bulk
Functional: GGA-PBE
Structure: relaxed

a b c (Å): 4.6022 9.2025 10.2765
angles (deg): 91.13 90.00 104.48
With the nearest neighbours (Å) after each atom.
Fractional positions:
1 Te 0.3533 0.7066 0.9622  3 Th 3.15-3.26
2 Te 0.7507 0.5015 0.6676  2 Th 3.15
3 Te 0.6467 0.2934 0.0378  3 Th 3.15-3.26
4 Te 0.2493 0.4985 0.3324  2 Th 3.15
5 Ba 0.6059 0.2118 0.4219  7 Te 3.57-3.69
6 Te 0.0396 0.0793 0.6761  1 Th 3.04
7 Th 0.8166 0.6332 0.1603  6 Te 3.04-3.26
8 Te 0.9604 0.9207 0.3239  1 Th 3.04
9 Th 0.1834 0.3668 0.8397  6 Te 3.04-3.26
10 Ba 0.3941 0.7882 0.5781  7 Te 3.57-3.69

Output
**Space group**: C2/m
**Crystal system**: monoclinic

Which of them is the most stable? Correct choice: version P.

Version P
Compound: BaTi3Te
Source: Alexandria via LeMat-Bulk
Functional: GGA-PBE
Structure: relaxed

a b c (Å): 5.0277 5.0277 5.0277
angles (deg): 90.00 90.00 90.00
With the nearest neighbours (Å) after each atom.
Fractional positions:
1 Ba 0.0000 0.0000 0.0000  6 Ti 2.51
2 Ti 0.0000 0.0000 0.5000  2 Ba 2.51
3 Ti 0.5000 0.0000 0.0000  2 Ba 2.51
4 Te 0.5000 0.5000 0.5000  12 Ti 3.56
5 Ti 0.0000 0.5000 0.0000  2 Ba 2.51

Output
**Space group**: Pm-3m
**Crystal system**: cubic
**DOS(E_F)**: 7.16 states/eV/f.u.

Version Q
Compound: BaTi3Te
Source: Alexandria via LeMat-Bulk
Functional: GGA-PBE
Structure: relaxed

a b c (Å): 5.2089 5.2089 5.2089
angles (deg): 90.00 90.00 90.00
With the nearest neighbours (Å) after each atom.
Fractional positions:
1 Ti 0.5000 0.0000 0.0000  2 Te 2.60
2 Ti 0.0000 0.5000 0.0000  2 Te 2.60
3 Ti 0.0000 0.0000 0.5000  2 Te 2.60
4 Ba 0.5000 0.5000 0.5000  12 Ti 3.68
5 Te 0.0000 0.0000 0.0000  6 Ti 2.60

Output
**Space group**: Pm-3m
**Crystal system**: cubic
**DOS(E_F)**: 6.05 states/eV/f.u.

Which of them is the most stable? Correct choice: version Q.

Version P
Compound: Ba2TlTe
Source: Alexandria via LeMat-Bulk
Functional: GGA-PBE
Structure: relaxed

a b c (Å): 4.3517 4.3336 9.4437
angles (deg): 62.63 90.00 90.00
With the nearest neighbours (Å) after each atom.
Fractional positions:
1 Te 0.5000 0.2500 0.2500  8 Ba 3.67
2 Tl 0.5000 0.7500 0.7500  8 Ba 3.77, 2 Te 4.19
3 Ba 0.0000 0.9894 0.0102  4 Te 3.67, 4 Tl 3.77, 1 Ba 4.02
4 Ba 0.0000 0.5106 0.4898  4 Te 3.67, 4 Tl 3.77, 1 Ba 4.02

Output
**Space group**: P2/m
**Crystal system**: monoclinic
**DOS(E_F)**: 3.03 states/eV/f.u.

Version Q
Compound: Ba2TlTe
Source: Alexandria via LeMat-Bulk
Functional: GGA-PBE
Structure: relaxed

a b c (Å): 6.0560 4.2501 6.0561
angles (deg): 90.00 90.00 90.00
With the nearest neighbours (Å) after each atom.
Fractional positions:
1 Tl 0.5000 0.6248 0.8746  8 Ba 3.70
2 Ba 0.5000 0.1249 0.3748  4 Tl 3.70, 4 Te 3.70
3 Ba 0.0000 0.1250 0.8753  4 Tl 3.70, 4 Te 3.70
4 Te 0.0000 0.6252 0.3753  8 Ba 3.70

Output
**Space group**: P4/mmm
**Crystal system**: tetragonal
**DOS(E_F)**: 2.87 states/eV/f.u.

Which of them is the most stable? Correct choice: version P.

Version P
Compound: Ba2TlTe
Source: Alexandria via LeMat-Bulk
Functional: GGA-PBE
Structure: relaxed

a b c (Å): 9.3182 9.3182 7.8823
angles (deg): 53.77 53.77 90.00
With the nearest neighbours (Å) after each atom.
Fractional positions:
1 Tl 0.0000 0.0000 0.0000  4 Ba 3.56
2 Te 0.2500 0.7500 0.5000  4 Ba 3.37
3 Ba 0.1402 0.6250 0.2500  2 Te 3.37, 2 Tl 3.56
4 Ba 0.3750 0.3902 0.7500  2 Te 3.37, 2 Tl 3.56
5 Te 0.5000 0.5000 0.0000  4 Ba 3.37
6 Ba 0.6098 0.1250 0.2500  2 Te 3.37, 2 Tl 3.56
7 Tl 0.7500 0.2500 0.5000  4 Ba 3.56
8 Ba 0.8750 0.8598 0.7500  2 Te 3.37, 2 Tl 3.56

Output
**Space group**: I-42d
**Crystal system**: tetragonal
**DOS(E_F)**: 4.98 states/eV/f.u.

Version Q
Compound: Ba2TlTe
Source: Alexandria via LeMat-Bulk
Functional: GGA-PBE
Structure: relaxed

a b c (Å): 8.9609 6.0836 4.2401
angles (deg): 90.05 61.67 124.83
With the nearest neighbours (Å) after each atom.
Fractional positions:
1 Ba 0.5000 0.0000 0.5000  4 Tl 3.71, 4 Te 3.71, 2 Ba 3.94
2 Tl 0.5000 0.5000 0.0000  8 Ba 3.71, 2 Te 3.94
3 Ba 0.0000 0.0000 0.0000  4 Te 3.71, 4 Tl 3.71, 2 Ba 3.94
4 Te 0.0000 0.5000 0.5000  8 Ba 3.71, 2 Tl 3.94

Output
**Space group**: Cmmm
**Crystal system**: orthorhombic
**DOS(E_F)**: 2.47 states/eV/f.u.

Which of them is the most stable? Correct choice: version Q.

Version P
Compound: Ba2TlTe
Source: Alexandria via LeMat-Bulk
Functional: GGA-PBE
Structure: relaxed

a b c (Å): 7.3761 7.3761 7.3761
angles (deg): 140.29 140.29 57.41
With the nearest neighbours (Å) after each atom.
Fractional positions:
1 Tl 0.7500 0.2500 0.5000  4 Ba 3.54
2 Te 0.5000 0.5000 0.0000  4 Ba 3.54
3 Ba 0.2500 0.7500 0.5000  4 Tl 3.54
4 Ba 0.0000 0.0000 0.0000  4 Te 3.54

Output
**Space group**: I-4m2
**Crystal system**: tetragonal
**DOS(E_F)**: 4.39 states/eV/f.u.

Version Q
Compound: Ba2TlTe
Source: Alexandria via LeMat-Bulk
Functional: GGA-PBE
Structure: relaxed

a b c (Å): 6.2970 6.2970 6.2970
angles (deg): 126.61 126.66 78.85
With the nearest neighbours (Å) after each atom.
Fractional positions:
1 Ba 0.5002 0.5002 0.0000  4 Tl 3.73, 4 Te 3.73, 4 Ba 4.00
2 Te 0.7500 0.2500 0.5000  8 Ba 3.73, 4 Tl 4.00
3 Ba 0.9998 0.9998 0.0000  4 Tl 3.73, 4 Te 3.73, 4 Ba 4.00
4 Tl 0.2500 0.7500 0.5000  8 Ba 3.73, 4 Te 4.00

Output
**Space group**: I4/mmm
**Crystal system**: tetragonal
**DOS(E_F)**: 2.64 states/eV/f.u.

Version R
Compound: Ba2TlTe
Source: Alexandria via LeMat-Bulk
Functional: GGA-PBE
Structure: relaxed

a b c (Å): 6.9708 6.9708 5.6794
angles (deg): 81.13 81.13 37.56
With the nearest neighbours (Å) after each atom.
Fractional positions:
1 Tl 0.2732 0.2732 0.0927  1 Te 3.32, 5 Ba 3.54-3.68
2 Te 0.4741 0.4741 0.6578  1 Tl 3.32, 5 Ba 3.60-3.68
3 Ba 0.7498 0.7498 0.6111  4 Tl 3.59-3.68, 3 Te 3.60-3.76, 1 Ba 3.93
4 Ba 0.0028 0.0028 0.1384  3 Tl 3.54-3.81, 4 Te 3.60-3.68, 1 Ba 3.93

Output
**Space group**: Cm
**Crystal system**: monoclinic
**DOS(E_F)**: 3.16 states/eV/f.u.

Version S
Compound: Ba2TlTe
Source: Alexandria via LeMat-Bulk
Functional: GGA-PBE
Structure: relaxed

a b c (Å): 6.0625 6.0625 6.0625
angles (deg): 60.00 60.00 60.00
With the nearest neighbours (Å) after each atom.
Fractional positions:
1 Ba 0.7500 0.7500 0.7500  4 Te 3.71, 4 Tl 3.71
2 Te 0.0000 0.0000 0.0000  8 Ba 3.71
3 Tl 0.5000 0.5000 0.5000  8 Ba 3.71
4 Ba 0.2500 0.2500 0.2500  4 Tl 3.71, 4 Te 3.71

Output
**Space group**: Fm-3m
**Crystal system**: cubic
**DOS(E_F)**: 5.65 states/eV/f.u.

Which of them is the most stable? Correct choice: version R.